# 1
The following is a DFT calculation (PBE) of a relaxed LaAg2Bi2 crystal.

The calculation puts the magnetization at 0.00 μB per atom. The calculation puts the calculated formation energy at -28.8 kJ/mol of atoms. The calculation puts the theoretical density at 9.7 g/cm3. For the calculated total energy, the calculation gives -3.98 eV/atom.

The space group is P4/mbm (No. 127) and the conventional cell measures 8.436, 8.436 and 3.718 Å, with angles of 90.00, 90.00 and 90.00 degrees. The distinct sites, in fractional coordinates, are La at (0.000, 0.000, 0.000), Ag at (0.116, 0.384, 0.000) and Bi at (0.185, 0.685, 0.500).

# 2
The following is a DFT calculation (PBE) of a relaxed RbAlHOs2 crystal.

The calculation puts the magnetization at 0.00 μB per atom. The calculation puts the theoretical density at 10.3 g/cm3. For the calculated total energy, the calculation gives -3.43 eV/atom.

The space group is P4/mmm (No. 123) and the conventional cell measures 5.009, 5.009 and 3.163 Å, with angles of 90.00, 90.00 and 90.00 degrees. The distinct sites, in fractional coordinates, are Rb at (0.000, 0.000, 0.000), Al at (0.500, 0.500, 0.500), H at (0.000, 0.000, 0.500) and Os at (0.000, 0.500, 0.000).

# 3
The following is a DFT calculation (PBE) of a relaxed CeTm3Ru2 crystal.

The calculation puts the magnetization at 0.03 μB per atom. The calculation puts the calculated formation energy at -36.3 kJ/mol of atoms. The calculation puts the theoretical density at 9.0 g/cm3. For the calculated total energy, the calculation gives -6.69 eV/atom.

The space group is Ibam (No. 72) and the conventional cell measures 6.661, 13.364 and 7.007 Å, with angles of 90.00, 90.00 and 90.00 degrees. The distinct sites, in fractional coordinates, are Ce at (0.000, 0.000, 0.000), Tm at (0.000, 0.241, 0.250), Tm at (0.000, 0.500, 0.250) and Ru at (0.245, 0.375, 0.000).

# 4
The following is a DFT calculation (PBE) of a relaxed AgRh crystal.

The calculation puts the magnetization at 0.00 μB per atom. The calculation puts the calculated formation energy at 28.6 kJ/mol of atoms. The calculation puts the theoretical density at 10.0 g/cm3. For the calculated total energy, the calculation gives -4.80 eV/atom.

The space group is P6_3/mmc (No. 194) and the conventional cell measures 8.0329, 8.0329 and 3.7403 Å, with angles of 90.00, 90.00 and 120.00 degrees. The distinct sites, in fractional coordinates, are Ag at (0.1531, 0.3062, 0.2500) and Rh at (0.1223, 0.5611, 0.7500).

# 5
The following is a DFT calculation (PBE) of a relaxed CsSeIBr2 crystal.

The calculation puts the magnetization at 0.00 μB per atom. For the uncorrected formation energy, the calculation gives -0.69 eV per atom. The calculation puts the theoretical density at 4.4 g/cm3. For the calculated total energy, the calculation gives -2.53 eV/atom.

The space group is P4/mmm (No. 123) and the conventional cell measures 5.777, 5.777 and 5.610 Å, with angles of 90.00, 90.00 and 90.00 degrees. The distinct sites, in fractional coordinates, are Cs at (0.000, 0.000, 0.000), Se at (0.500, 0.500, 0.500), I at (0.500, 0.500, 0.000) and Br at (0.000, 0.500, 0.500).

# 6
The following is a DFT calculation (PBE) of a relaxed LaCr2Mo crystal.

The calculation puts the magnetization at 0.16 μB per atom. The calculation puts the calculated formation energy at 62.5 kJ/mol of atoms. The calculation puts the theoretical density at 8.0 g/cm3. For the calculated total energy, the calculation gives -8.10 eV/atom.

The space group is F-43m (No. 216) and the conventional cell measures 6.559, 6.559 and 6.559 Å, with angles of 90.00, 90.00 and 90.00 degrees. The distinct sites, in fractional coordinates, are La at (0.000, 0.000, 0.000), Cr at (0.000, 0.000, 0.500), Cr at (0.250, 0.250, 0.250) and Mo at (0.250, 0.250, 0.750).

# 7
The following is a DFT calculation (PBE) of a relaxed Er8AgIr5 crystal.

The calculation puts the magnetization at 0.00 μB per atom. The calculation puts the calculated formation energy at -70.5 kJ/mol of atoms. The calculation puts the theoretical density at 12.7 g/cm3. For the calculated total energy, the calculation gives -6.71 eV/atom.

The space group is I-4 (No. 82) and the conventional cell measures 8.601, 8.601 and 8.540 Å, with angles of 90.00, 90.00 and 90.00 degrees. The distinct sites, in fractional coordinates, are Er at (0.065, 0.311, 0.429), Er at (0.069, 0.174, 0.809), Ag at (0.000, 0.500, 0.750), Ir at (0.000, 0.000, 0.500) and Ir at (0.132, 0.246, 0.119).

# 8
The following is a DFT calculation (PBE) of a relaxed Ca2CdIr crystal.

The calculation puts the magnetization at 0.00 μB per atom. The calculation puts the calculated formation energy at -6.8 kJ/mol of atoms. The calculation puts the theoretical density at 4.9 g/cm3. For the calculated total energy, the calculation gives -3.51 eV/atom.

The space group is I-42d (No. 122) and the conventional cell measures 9.902, 9.902 and 5.360 Å, with angles of 90.00, 90.00 and 90.00 degrees. The distinct sites, in fractional coordinates, are Ca at (0.101, 0.250, 0.125), Cd at (0.000, 0.000, 0.500) and Ir at (0.000, 0.000, 0.000).

Which formula does entry 5 have?
CsSeIBr2